# 1
! PBE LuSiPO, optimized geometry; values from VASP
! - spin magnetization (μB per atom) = 0.000
&SYSTEM
  ibrav = 0, nat = 8, ntyp = 4
/
ATOMIC_SPECIES
Lu 174.97 Lu.upf
Si 28.09 Si.upf
P 30.97 P.upf
O 16.00 O.upf
CELL_PARAMETERS angstrom
4.004 0.000 0.000
0.000 4.004 0.000
0.000 0.000 7.889
ATOMIC_POSITIONS crystal
Lu 0.250 0.250 0.120
Lu 0.750 0.750 0.880
Si 0.250 0.750 0.500
Si 0.750 0.250 0.500
P 0.250 0.250 0.660
P 0.750 0.750 0.340
O 0.250 0.750 0.000
O 0.750 0.250 0.000

# 2
Below is a relaxed TlHgSb2 crystal, with properties calculated at the PBE level. Values from VASP.

Geometry as Quantum ESPRESSO input:
```
&SYSTEM
  ibrav = 0, nat = 4, ntyp = 3
/
ATOMIC_SPECIES
Tl 204.38 Tl.upf
Hg 200.59 Hg.upf
Sb 121.76 Sb.upf
CELL_PARAMETERS angstrom
0.000 3.820 3.820
3.820 0.000 3.820
3.820 3.820 0.000
ATOMIC_POSITIONS crystal
Tl 0.000 0.000 0.000
Hg 0.250 0.250 0.250
Sb 0.500 0.500 0.500
Sb 0.750 0.750 0.750
```

# 3
! PBE BaLiBiPt, optimized geometry; values from VASP
! - spin magnetization (μB per atom) = 0.000
! - polymorph energy (0 for the lowest one) (meV per atom) = 0
&SYSTEM
  ibrav = 0, nat = 4, ntyp = 4
/
ATOMIC_SPECIES
Ba 137.33 Ba.upf
Li 6.94 Li.upf
Bi 208.98 Bi.upf
Pt 195.08 Pt.upf
CELL_PARAMETERS angstrom
0.000 3.679 3.679
3.679 0.000 3.679
3.679 3.679 0.000
ATOMIC_POSITIONS crystal
Ba 0.000 0.000 0.000
Li 0.750 0.750 0.750
Bi 0.500 0.500 0.500
Pt 0.250 0.250 0.250

no.,calculated total energy (eV/atom)
1,-6.52
2,-2.59
3,-3.97